No. 1
Below is a relaxed structure of TbLuThAl, with properties calculated at the PBE-GGA level.

Properties
E_tot: -5.120 eV per atom
Symmetry: F-43m
V: 27.154 Å³/atom

a b c (Å): 5.356 5.356 5.356
angles (deg): 60.00 60.00 60.00
Fractional coordinates of all 4 atoms:
Tb 0.000 0.000 0.000
Lu 0.250 0.250 0.250
Th 0.500 0.500 0.500
Al 0.750 0.750 0.750

=====

No. 2
Below is a relaxed structure of In2Pt2Se, with properties calculated at the PBE-GGA level.

Properties
Formation energy (no corrections): -0.187 eV/atom
ΔE to the lowest computed polymorph: 77 meV per atom
E_tot: -4.395 eV per atom
Symmetry: P4/mbm
V: 19.937 Å³/atom

a b c (Å): 8.285 8.285 2.904
angles (deg): 90.00 90.00 90.00
Fractional coordinates of all 10 atoms:
In 0.176 0.324 0.000
In 0.324 0.824 0.000
In 0.676 0.176 0.000
In 0.824 0.676 0.000
Pt 0.120 0.620 0.500
Pt 0.380 0.120 0.500
Pt 0.620 0.880 0.500
Pt 0.880 0.380 0.500
Se 0.000 0.000 0.000
Se 0.500 0.500 0.000

=====

No. 3
Below is a relaxed structure of NaTmBiPd, with properties calculated at the PBE-GGA level.

Properties
E_tot: -4.182 eV per atom
Symmetry: F-43m
V: 23.612 Å³/atom

a b c (Å): 5.112 5.112 5.112
angles (deg): 60.00 60.00 60.00
Fractional coordinates of all 4 atoms:
Na 0.000 0.000 0.000
Tm 0.500 0.500 0.500
Bi 0.750 0.750 0.750
Pd 0.250 0.250 0.250

=====

No. 4
Below is a relaxed structure of Ag2BiPd2, with properties calculated at the PBE-GGA level.

Properties
ΔE to the lowest computed polymorph: 51 meV per atom
E_tot: -4.047 eV per atom
Symmetry: P2_1/c
V: 19.154 Å³/atom

a b c (Å): 8.013 7.827 6.674
angles (deg): 90.00 113.76 90.00
Fractional coordinates of all 20 atoms:
Ag 0.067 0.175 0.028
Ag 0.067 0.325 0.528
Ag 0.360 0.226 0.916
Ag 0.360 0.274 0.416
Ag 0.640 0.726 0.584
Ag 0.640 0.774 0.084
Ag 0.933 0.675 0.472
Ag 0.933 0.825 0.972
Bi 0.251 0.647 0.326
Bi 0.251 0.853 0.826
Bi 0.749 0.147 0.174
Bi 0.749 0.353 0.674
Pd 0.136 0.519 0.907
Pd 0.136 0.981 0.407
Pd 0.433 0.530 0.763
Pd 0.433 0.970 0.263
Pd 0.567 0.030 0.737
Pd 0.567 0.470 0.237
Pd 0.864 0.019 0.593
Pd 0.864 0.481 0.093